The following is a PBE calculation of an optimized crystal structure of TiNb3Ge, from Alexandria.

It has space group Pm-3m (No. 221), with a = 4.691 Å, b = 4.691 Å, c = 4.691 Å, α = 90.00°, β = 90.00° and γ = 90.00°. Symmetry generates all atoms from Ti at (0.000, 0.000, 0.000), Nb at (0.000, 0.000, 0.500) and Ge at (0.500, 0.500, 0.500).

Its energy of formation from the pure elements is 5.65 eV/f.u. The value obtained for the total energy is -37.1 eV per cell. Its spin magnetization is 0.00 Bohr magnetons per cell. The calculation puts the calculated density at 6.424 g/cm3.

=====

The following is a PBE calculation of an optimized crystal structure of TiNbGe, from Alexandria.

It has space group Ima2 (No. 46), with a = 5.204 Å, b = 6.224 Å, c = 6.210 Å, α = 90.00°, β = 90.00° and γ = 90.00°. Symmetry generates all atoms from Ti at (0.250, 0.157, 0.000), Nb at (0.250, 0.653, 0.810) and Ge at (0.000, 0.000, 0.659).

Its energy of formation from the pure elements is -1.51 eV/f.u. The value obtained for the total energy is -96.4 eV per cell. Its spin magnetization is 0.00 Bohr magnetons per cell. The calculation puts the calculated density at 7.047 g/cm3.

=====

The following is a PBE calculation of an optimized crystal structure of Ti5Nb2Ge, from Alexandria.

It has space group I4/mcm (No. 140), with a = 6.908 Å, b = 6.908 Å, c = 11.589 Å, α = 90.00°, β = 90.00° and γ = 90.00°. Symmetry generates all atoms from Ti at (0.000, 0.000, 0.000), Ti at (0.151, 0.349, 0.165), Nb at (0.157, 0.343, 0.500) and Ge at (0.000, 0.000, 0.250).

Its energy of formation from the pure elements is -0.11 eV/f.u. The value obtained for the total energy is -257.4 eV per cell. Its spin magnetization is 0.00 Bohr magnetons per cell. The calculation puts the calculated density at 5.979 g/cm3.

=====

The following is a PBE calculation of an optimized crystal structure of TiNbGe, from Alexandria.

It has space group Cm (No. 8), with a = 9.680 Å, b = 3.505 Å, c = 7.140 Å, α = 90.00°, β = 122.44° and γ = 90.00°. Symmetry generates all atoms from Ti at (0.000, 0.000, 0.000), Ti at (0.239, 0.500, 0.394), Nb at (0.164, 0.000, 0.683), Nb at (0.431, 0.000, 0.290), Ge at (0.226, 0.500, 0.010) and Ge at (0.436, 0.000, 0.674).

Its energy of formation from the pure elements is -1.22 eV/f.u. The value obtained for the total energy is -95.2 eV per cell. Its spin magnetization is 0.00 Bohr magnetons per cell. The calculation puts the calculated density at 6.933 g/cm3.

=====

The following is a PBE calculation of an optimized crystal structure of TiNb2Ge, from Alexandria.

It has space group Cmcm (No. 63), with a = 3.515 Å, b = 19.284 Å, c = 4.146 Å, α = 90.00°, β = 90.00° and γ = 90.00°. Symmetry generates all atoms from Ti at (0.000, 0.193, 0.250), Nb at (0.000, 0.060, 0.750), Nb at (0.000, 0.431, 0.750) and Ge at (0.000, 0.330, 0.250).

Its energy of formation from the pure elements is -1.50 eV/f.u. The value obtained for the total energy is -136.6 eV per cell. Its spin magnetization is 0.00 Bohr magnetons per cell. The calculation puts the calculated density at 7.239 g/cm3.

=====

The following is a PBE calculation of an optimized crystal structure of TiNbGe, from Alexandria.

It has space group Cm (No. 8), with a = 9.700 Å, b = 3.518 Å, c = 7.112 Å, α = 90.00°, β = 122.45° and γ = 90.00°. Symmetry generates all atoms from Ti at (0.000, 0.000, 0.000), Ti at (0.077, 0.500, 0.713), Nb at (0.266, 0.000, 0.605), Nb at (0.340, 0.500, 0.323), Ge at (0.062, 0.500, 0.323) and Ge at (0.272, 0.000, 0.990).

Its energy of formation from the pure elements is -1.22 eV/f.u. The value obtained for the total energy is -95.2 eV per cell. Its spin magnetization is 0.00 Bohr magnetons per cell. The calculation puts the calculated density at 6.921 g/cm3.